# YNi2Os | Alexandria | SCAN | PBEsol geometry
data_YNi2Os
_space_group_name_H-M_alt 'P 1'
_space_group_IT_number 1
_cell_length_a 2.802
_cell_length_b 4.140
_cell_length_c 5.177
_cell_angle_alpha 90.00
_cell_angle_beta 104.88
_cell_angle_gamma 90.00
loop_
_space_group_symop_operation_xyz
'x,y,z'
loop_
_atom_site_label
_atom_site_fract_x
_atom_site_fract_y
_atom_site_fract_z
Y1 0.000 0.000 0.000
Ni1 0.602 0.500 0.215
Ni2 0.719 0.000 0.486
Os1 0.300 0.500 0.626
# Crystal system   monoclinic
# Energy of formation from the pure elements   39 meV per atom
# Raw total energy   -131.91 eV/cell
# ρ   11.3 Mg/m³
# Energy above the lowest structure with this stoichiometry   0.253 eV/atom


# SiAgSCl2 | Alexandria | SCAN | PBEsol geometry
data_SiAgSCl2
_space_group_name_H-M_alt 'P 1'
_space_group_IT_number 1
_cell_length_a 4.665
_cell_length_b 4.665
_cell_length_c 4.554
_cell_angle_alpha 90.00
_cell_angle_beta 90.00
_cell_angle_gamma 90.00
loop_
_space_group_symop_operation_xyz
'x,y,z'
loop_
_atom_site_label
_atom_site_fract_x
_atom_site_fract_y
_atom_site_fract_z
Si1 0.000 0.000 0.000
Ag1 0.500 0.500 0.500
S1 0.000 0.000 0.500
Cl1 0.000 0.500 0.000
Cl2 0.500 0.000 0.000
# Crystal system   tetragonal
# Raw total energy   -67.87 eV/cell
# ρ   4.0 Mg/m³
# Energy relative to the elements, uncorrected   -180 meV per atom